(1)
Density functional theory data (PBE-GGA) for an optimized crystal structure of TlZnAgPtSe.

abc: 3.832 4.380 6.192
angles: 90.00 90.00 90.00
Fractional coordinates of all 5 atoms:
Tl (0.000, 0.000, 0.000)
Zn (0.000, 0.500, 0.593)
Ag (0.500, 0.000, 0.575)
Pt (0.500, 0.500, 0.884)
Se (0.500, 0.500, 0.307)

Results
**Total magnetization**: 0.000 μB/atom
**Excess energy over the best structure of this formula in the dataset**: 0.032 eV per atom
**Theoretical density**: 10.41 g cm⁻³
**Space group**: No. 25

---

(2)
Density functional theory data (PBE-GGA) for an optimized crystal structure of TlZnAgPtSe.

abc: 6.960 6.960 4.919
angles: 110.48 110.48 35.82
Fractional coordinates of all 5 atoms:
Tl (0.000, 0.000, 0.000)
Zn (0.316, 0.316, 0.318)
Ag (0.568, 0.568, 0.572)
Pt (0.915, 0.915, 0.416)
Se (0.700, 0.700, 0.205)

Results
**Total magnetization**: 0.000 μB/atom
**Excess energy over the best structure of this formula in the dataset**: 0.075 eV per atom
**Theoretical density**: 8.35 g cm⁻³
**Space group**: No. 8

---

(3)
Density functional theory data (PBE-GGA) for an optimized crystal structure of TlZnAgPtSe.

abc: 5.459 4.008 5.606
angles: 90.00 115.99 90.00
Fractional coordinates of all 5 atoms:
Tl (0.000, 0.000, 0.000)
Zn (0.280, 0.500, 0.694)
Ag (0.500, 0.000, 0.501)
Pt (0.499, 0.000, 0.995)
Se (0.777, 0.500, 0.352)

Results
**Total magnetization**: 0.000 μB/atom
**Excess energy over the best structure of this formula in the dataset**: 0.010 eV per atom
**Theoretical density**: 9.82 g cm⁻³
**Space group**: No. 6

---

(4)
Density functional theory data (PBE-GGA) for an optimized crystal structure of TlZnAgPtSe.

abc: 3.959 4.455 6.820
angles: 105.49 105.88 95.49
Fractional coordinates of all 5 atoms:
Tl (0.000, 0.000, 0.000)
Zn (0.262, 0.619, 0.586)
Ag (0.735, 0.222, 0.629)
Pt (0.435, 0.521, 0.950)
Se (0.658, 0.646, 0.360)

Results
**Total magnetization**: 0.000 μB/atom
**Excess energy over the best structure of this formula in the dataset**: 0.009 eV per atom
**Theoretical density**: 9.87 g cm⁻³
**Space group**: No. 1

---

(5)
Density functional theory data (PBE-GGA) for an optimized crystal structure of TlZnAgPtSe.

abc: 5.159 5.159 6.389
angles: 110.87 110.87 45.77
Fractional coordinates of all 5 atoms:
Tl (0.000, 0.000, 0.000)
Zn (0.598, 0.598, 0.691)
Ag (0.784, 0.784, 0.223)
Pt (0.257, 0.257, 0.883)
Se (0.317, 0.317, 0.523)

Results
**Total magnetization**: 0.000 μB/atom
**Excess energy over the best structure of this formula in the dataset**: 0.032 eV per atom
**Theoretical density**: 9.63 g cm⁻³
**Space group**: No. 8

---

(6)
Density functional theory data (PBE-GGA) for an optimized crystal structure of TlZnAgPtSe.

abc: 3.975 4.499 6.538
angles: 77.65 72.35 89.90
Fractional coordinates of all 5 atoms:
Tl (0.000, 0.000, 0.000)
Zn (0.821, 0.402, 0.357)
Ag (0.273, 0.996, 0.454)
Pt (0.460, 0.456, 0.077)
Se (0.669, 0.672, 0.663)

Results
**Total magnetization**: 0.000 μB/atom
**Excess energy over the best structure of this formula in the dataset**: 0.014 eV per atom
**Theoretical density**: 9.97 g cm⁻³
**Space group**: No. 1

---

(7)
Density functional theory data (PBE-GGA) for an optimized crystal structure of TlZnAgPtSe.

abc: 5.434 5.434 5.333
angles: 101.66 101.66 44.22
Fractional coordinates of all 5 atoms:
Tl (0.000, 0.000, 0.000)
Zn (0.243, 0.243, 0.768)
Ag (0.593, 0.593, 0.507)
Pt (0.721, 0.721, 0.046)
Se (0.321, 0.321, 0.361)

Results
**Total magnetization**: 0.000 μB/atom
**Excess energy over the best structure of this formula in the dataset**: 0.025 eV per atom
**Theoretical density**: 10.10 g cm⁻³
**Space group**: No. 8

---

(8)
Density functional theory data (PBE-GGA) for an optimized crystal structure of TlZnAgPtSe.

abc: 7.096 7.096 7.096
angles: 37.54 37.54 37.54
Fractional coordinates of all 5 atoms:
Tl (0.000, 0.000, 0.000)
Zn (0.806, 0.806, 0.806)
Ag (0.435, 0.435, 0.435)
Pt (0.142, 0.142, 0.142)
Se (0.266, 0.266, 0.266)

Results
**Total magnetization**: 0.000 μB/atom
**Excess energy over the best structure of this formula in the dataset**: 0.002 eV per atom
**Theoretical density**: 9.10 g cm⁻³
**Space group**: No. 160